Entry 1:
Compound: DyMgGeRh
Source: Alexandria
Functional: PBE
Structure: optimized geometry

Properties
Formation energy ... -0.553 eV per atom

```
data_DyMgGeRh
_cell_length_a 6.723
_cell_length_b 6.723
_cell_length_c 6.723
_cell_angle_alpha 90.00
_cell_angle_beta 90.00
_cell_angle_gamma 90.00
_space_group_name_H-M_alt 'F -4 3 m'
_space_group_IT_number 216
_space_group_name_Hall 'F -4 2 3'
loop_
_atom_site_label
_atom_site_fract_x
_atom_site_fract_y
_atom_site_fract_z
Dy1 0.000 0.000 0.000
Mg1 0.000 0.000 0.500
Ge1 0.250 0.250 0.750
Rh1 0.250 0.250 0.250
```



Entry 2:
Compound: Dy2MgGe2Rh5
Source: Alexandria
Functional: PBE
Structure: optimized geometry

Properties
Formation energy ... -0.787 eV per atom

```
data_Dy2MgGe2Rh5
_cell_length_a 9.857
_cell_length_b 9.857
_cell_length_c 3.560
_cell_angle_alpha 90.00
_cell_angle_beta 90.00
_cell_angle_gamma 90.00
_space_group_name_H-M_alt 'P 4/m b m'
_space_group_IT_number 127
_space_group_name_Hall '-P 4 2ab'
loop_
_atom_site_label
_atom_site_fract_x
_atom_site_fract_y
_atom_site_fract_z
Dy1 0.173 0.327 0.000
Mg1 0.000 0.000 0.000
Ge1 0.126 0.626 0.000
Rh1 0.000 0.500 0.500
Rh2 0.068 0.789 0.500
```



Entry 3:
Compound: Dy6MgGe2S14
Source: Alexandria
Functional: PBE
Structure: optimized geometry

Properties
Formation energy without anion corrections ... -36.088 eV/f.u.

```
data_Dy6MgGe2S14
_cell_length_a 9.8348
_cell_length_b 9.8348
_cell_length_c 5.8454
_cell_angle_alpha 90.00
_cell_angle_beta 90.00
_cell_angle_gamma 120.00
_space_group_name_H-M_alt 'P 3'
_space_group_IT_number 143
loop_
_space_group_symop_operation_xyz
'x,y,z'
'-y,x-y,z'
'-x+y,-x,z'
loop_
_atom_site_label
_atom_site_fract_x
_atom_site_fract_y
_atom_site_fract_z
Dy1 0.0241 0.5536 0.0000
Dy2 0.3062 0.1098 0.5068
Mg1 0.6667 0.3333 0.3017
Ge1 0.0000 0.0000 0.9290
Ge2 0.3333 0.6667 0.4196
S1 0.0000 0.0000 0.3062
S2 0.0885 0.8522 0.7667
S3 0.1866 0.4299 0.2587
S4 0.3333 0.6667 0.7978
S5 0.4152 0.1821 0.0643
S6 0.5127 0.4317 0.5462
```



Calculated N(E_F) in order - 1.0; 3.4; 0.0 states/eV/f.u.
Calculated final energy in order - -5.0942; -6.4665; -5.7528 eV per atom